VASP calculation (PBE) on a relaxed Cs2SrBeBr6 crystal.

extended XYZ file:
```
10
Lattice="-3.9087 3.9087 5.5612 3.9087 -3.9087 5.5612 3.9087 3.9087 -5.5612" Properties=species:S:1:pos:R:3 pbc="T T T"
Cs 3.9087 0.0000 2.7806
Cs 0.0000 3.9087 2.7806
Sr 0.0000 0.0000 0.0000
Be 0.0000 0.0000 5.5612
Br 0.0000 0.0000 3.0278
Br 2.1439 2.1439 0.0000
Br 1.7647 -1.7647 5.5612
Br -1.7647 1.7647 5.5612
Br 1.7647 1.7647 5.5612
Br 0.0000 0.0000 8.0947
```

Calculated values
Space-group type ... I4/mmm
Uncorrected formation energy ... -1.54 eV/atom
DOS at the Fermi energy ... 0.0 states/eV/cell
Calculated volume ... 340 Å³ per cell